# TbNdIn3

A relaxed TbNdIn3 crystal (GGA-PBE, Alexandria via LeMat-Bulk).

Output
Crystal system: hexagonal
E_form in meV per atom: -234
Final energy in eV per atom: -3.76
Space group: P6_3/mmc
Total magnetization in Bohr magnetons per cell: 0.000

Structure (POSCAR):
```
TbNdIn3
1.0
-3.831 5.263 -0.415
-2.706 -1.445 6.649
5.919 4.254 -0.700
Tb In Nd
2 6 2
direct
0.500 0.000 0.000 Tb
0.000 0.000 0.000 Tb
0.750 0.202 0.405 In
0.250 0.798 0.595 In
0.750 0.595 0.798 In
0.250 0.405 0.202 In
0.250 0.798 0.202 In
0.750 0.202 0.798 In
0.250 0.333 0.667 Nd
0.750 0.667 0.333 Nd
```

# V2ZnHOs

A relaxed V2ZnHOs crystal (GGA-PBE, Alexandria via LeMat-Bulk).

Output
Crystal system: tetragonal
Final energy in eV per atom: -6.85
Space group: P4/mmm
Total magnetization in Bohr magnetons per cell: 0.000

Structure (POSCAR):
```
V2ZnHOs
1.0
3.842 0.000 0.000
0.000 3.842 0.000
0.000 0.000 3.857
V Os H Zn
2 1 1 1
direct
0.000 0.500 0.000 V
0.500 0.000 0.000 V
0.000 0.000 0.500 Os
0.000 0.000 0.000 H
0.500 0.500 0.500 Zn
```

# GdTlIr4

A relaxed GdTlIr4 crystal (GGA-PBE, Alexandria via LeMat-Bulk).

Output
Crystal system: cubic
E_form in meV per atom: -225
Final energy in eV per atom: -8.87
Space group: F-43m
Total magnetization in Bohr magnetons per cell: 6.473

Structure (POSCAR):
```
GdTlIr4
1.0
-0.646 -3.451 -4.053
1.136 -5.194 0.695
-3.960 -3.612 0.160
Ir Tl Gd
4 1 1
direct
0.625 0.124 0.625 Ir
0.124 0.625 0.625 Ir
0.625 0.625 0.625 Ir
0.625 0.625 0.124 Ir
0.000 0.000 0.000 Tl
0.250 0.250 0.250 Gd
```

# Pm8Hg2C3

A relaxed Pm8Hg2C3 crystal (GGA-PBE, Alexandria via LeMat-Bulk).

Output
Crystal system: monoclinic
E_form in meV per atom: -157
Final energy in eV per atom: -5.26
Space group: C2/m
Total magnetization in Bohr magnetons per cell: 0.000

Structure (POSCAR):
```
Pm8Hg2C3
1.0
6.664 0.000 0.244
0.000 7.388 0.000
-2.392 -3.694 7.135
Pm C Hg
8 3 2
direct
0.614 0.147 0.815 Pm
0.386 0.853 0.185 Pm
0.894 0.101 0.201 Pm
0.032 0.389 0.778 Pm
0.106 0.899 0.799 Pm
0.386 0.332 0.185 Pm
0.968 0.611 0.222 Pm
0.614 0.668 0.815 Pm
0.500 0.000 0.000 C
0.000 0.252 0.000 C
0.000 0.748 0.000 C
0.327 0.261 0.522 Hg
0.673 0.739 0.478 Hg
```

# Pm5NiRh2

A relaxed Pm5NiRh2 crystal (GGA-PBE, Alexandria via LeMat-Bulk).

Output
Crystal system: tetragonal
E_form in meV per atom: -437
Final energy in eV per atom: -5.97
Space group: I4/mcm
Total magnetization in Bohr magnetons per cell: 0.000

Structure (POSCAR):
```
Pm5NiRh2
1.0
-3.131 6.890 -1.206
2.055 -0.357 -7.374
-5.507 -6.283 2.751
Rh Pm Ni
4 10 2
direct
0.132 0.368 0.000 Rh
0.868 0.632 0.000 Rh
0.632 0.132 0.000 Rh
0.368 0.868 0.000 Rh
0.689 0.189 0.717 Pm
0.028 0.528 0.717 Pm
0.972 0.472 0.283 Pm
0.500 0.500 0.000 Pm
0.811 0.972 0.283 Pm
0.472 0.311 0.283 Pm
0.189 0.028 0.717 Pm
0.311 0.811 0.283 Pm
0.000 0.000 0.000 Pm
0.528 0.689 0.717 Pm
0.250 0.250 0.500 Ni
0.750 0.750 0.500 Ni
```

# KLaPt2

A relaxed KLaPt2 crystal (GGA-PBE, Alexandria via LeMat-Bulk).

Output
Crystal system: trigonal
E_form in meV per atom: -544
Final energy in eV per atom: -5.07
Space group: R3m
Total magnetization in Bohr magnetons per cell: 0.000

Structure (POSCAR):
```
KLaPt2
1.0
8.362 -0.092 -0.056
7.164 4.314 -0.056
7.164 1.948 3.849
Pt K La
2 1 1
direct
0.302 0.302 0.302 Pt
0.968 0.968 0.968 Pt
0.534 0.534 0.534 K
0.697 0.697 0.697 La
```

# NdY6In3

A relaxed NdY6In3 crystal (GGA-PBE, Alexandria via LeMat-Bulk).

Output
Crystal system: orthorhombic
E_form in meV per atom: -160
Final energy in eV per atom: -5.34
Space group: Cmc2_1
Total magnetization in Bohr magnetons per cell: 0.000

Structure (POSCAR):
```
NdY6In3
1.0
-1.650 -7.587 1.473
4.574 0.538 7.896
-8.579 2.288 2.174
In Y Nd
6 12 2
direct
0.326 0.420 0.580 In
0.433 0.283 0.050 In
0.433 0.950 0.717 In
0.933 0.717 0.950 In
0.933 0.050 0.283 In
0.826 0.580 0.420 In
0.622 0.654 0.724 Y
0.802 0.436 0.059 Y
0.622 0.276 0.346 Y
0.122 0.724 0.654 Y
0.302 0.564 0.941 Y
0.802 0.941 0.564 Y
0.250 0.968 0.032 Y
0.096 0.733 0.267 Y
0.122 0.346 0.276 Y
0.596 0.267 0.733 Y
0.302 0.059 0.436 Y
0.750 0.032 0.968 Y
0.600 0.780 0.220 Nd
0.100 0.220 0.780 Nd
```

# PuTlHgF6

A relaxed PuTlHgF6 crystal (GGA-PBE, Alexandria via LeMat-Bulk).

Output
E_form (uncorrected) in meV/atom: -2514
Crystal system: trigonal
Final energy in eV per atom: -5.65
Space group: P-31c
Total magnetization in Bohr magnetons per cell: 5.910

Structure (POSCAR):
```
PuTlHgF6
1.0
7.099 0.000 0.000
-3.550 6.148 0.000
0.000 0.000 9.191
F Pu Hg Tl
12 2 2 2
direct
0.319 0.413 0.877 F
0.413 0.094 0.123 F
0.681 0.094 0.377 F
0.681 0.587 0.123 F
0.094 0.413 0.623 F
0.319 0.906 0.623 F
0.413 0.319 0.377 F
0.906 0.587 0.377 F
0.587 0.681 0.623 F
0.906 0.319 0.123 F
0.094 0.681 0.877 F
0.587 0.906 0.877 F
0.333 0.667 0.750 Pu
0.667 0.333 0.250 Pu
0.667 0.333 0.750 Hg
0.333 0.667 0.250 Hg
0.000 0.000 0.000 Tl
0.000 0.000 0.500 Tl
```

# VGeN3

A relaxed VGeN3 crystal (GGA-PBE, Alexandria via LeMat-Bulk).

Output
E_form (uncorrected) in meV/atom: 1144
Crystal system: cubic
Final energy in eV per atom: -6.60
Space group: Pm-3m
Total magnetization in Bohr magnetons per cell: 1.304

Structure (POSCAR):
```
VGeN3
1.0
3.758 0.000 0.000
0.000 3.758 0.000
0.000 0.000 3.758
Ge N V
1 3 1
direct
0.000 0.000 0.000 Ge
0.000 0.500 0.000 N
0.000 0.000 0.500 N
0.500 0.000 0.000 N
0.500 0.500 0.500 V
```

# Sr2Cd2Au

A relaxed Sr2Cd2Au crystal (GGA-PBE, Alexandria via LeMat-Bulk).

Output
Crystal system: orthorhombic
E_form in meV per atom: -471
Final energy in eV per atom: -2.17
Space group: Amm2
Total magnetization in Bohr magnetons per cell: 0.000

Structure (POSCAR):
```
Sr2Cd2Au
1.0
-0.102 1.162 4.026
-4.490 -1.304 0.263
4.445 -6.494 1.987
Sr Au Cd
2 1 2
direct
0.000 0.936 0.871 Sr
0.000 0.682 0.363 Sr
0.500 0.114 0.228 Au
0.500 0.306 0.612 Cd
0.500 0.505 0.010 Cd
```

# SmDy2Mg2

A relaxed SmDy2Mg2 crystal (GGA-PBE, Alexandria via LeMat-Bulk).

Output
Crystal system: orthorhombic
E_form in meV per atom: -69
Final energy in eV per atom: -3.49
Space group: Cmcm
Total magnetization in Bohr magnetons per cell: 0.000

Structure (POSCAR):
```
SmDy2Mg2
1.0
3.718 0.000 -0.498
0.000 5.474 0.000
-0.008 0.000 14.078
Sm Mg Dy
2 4 4
direct
0.849 0.750 0.699 Sm
0.151 0.250 0.301 Sm
0.553 0.250 0.104 Mg
0.640 0.750 0.280 Mg
0.447 0.750 0.896 Mg
0.360 0.250 0.720 Mg
0.237 0.750 0.475 Dy
0.956 0.250 0.911 Dy
0.044 0.750 0.089 Dy
0.763 0.250 0.525 Dy
```

# Pu2GaOs

A relaxed Pu2GaOs crystal (GGA-PBE, Alexandria via LeMat-Bulk).

Output
Crystal system: trigonal
E_form in meV per atom: 320
Final energy in eV per atom: -10.41
Space group: R-3m
Total magnetization in Bohr magnetons per cell: 9.111

Structure (POSCAR):
```
Pu2GaOs
1.0
2.903 0.000 0.000
1.452 2.514 0.000
1.452 0.838 11.015
Pu Ga Os
2 1 1
direct
0.093 0.093 0.722 Pu
0.907 0.907 0.278 Pu
0.000 0.000 0.000 Ga
0.500 0.500 0.500 Os
```